# 1
A plane-wave DFT calculation with SCAN was carried out for a crystal of La5Cu3 relaxed with PBEsol.

The structure in extended XYZ format:
```
16
Lattice="8.4497 0.0000 0.0000 -4.2249 7.3177 0.0000 0.0000 0.0000 6.7596" Properties=species:S:1:pos:R:3 pbc="T T T"
La -1.0259 1.7769 1.6899
La -3.1990 5.5408 5.0697
La 2.0518 0.0000 1.6899
La 1.0259 1.7769 5.0697
La 0.0000 4.8784 0.0000
La 0.0000 4.8784 3.3798
La 4.2249 2.4392 0.0000
La 4.2249 2.4392 3.3798
La 6.3979 0.0000 5.0697
La 3.1990 5.5408 1.6899
Cu -1.6831 2.9152 5.0697
Cu -2.5418 4.4025 1.6899
Cu 3.3661 0.0000 5.0697
Cu 1.6831 2.9152 1.6899
Cu 5.0836 0.0000 1.6899
Cu 2.5418 4.4025 5.0697
```

## Properties
space-group type	P6_3/mcm
D(E_F)	0.81	states/eV/atom
DFT total energy	-523.960	eV for the cell shown
energy relative to the lowest polymorph listed for this composition	0.00	kJ/mol of atoms
calculated formation energy	-107	meV/atom
total magnetization	0.00	μB/f.u.

# 2
A plane-wave DFT calculation with SCAN was carried out for a crystal of LaCu relaxed with PBEsol.

The structure in extended XYZ format:
```
8
Lattice="7.4081 0.0000 0.0000 0.0000 4.5010 0.0000 0.0000 0.0000 5.5998" Properties=species:S:1:pos:R:3 pbc="T T T"
La 1.3051 1.1252 0.5807
La 2.3989 3.3757 3.3806
La 5.0091 1.1252 2.2192
La 6.1030 3.3757 5.0191
Cu 0.2584 1.1252 3.3810
Cu 3.4456 3.3757 0.5811
Cu 3.9625 1.1252 5.0187
Cu 7.1496 3.3757 2.2188
```

## Properties
space-group type	Pnma
D(E_F)	0.65	states/eV/atom
DFT total energy	-234.864	eV for the cell shown
calculated formation energy	-206	meV/atom
total magnetization	0.00	μB/f.u.

# 3
A plane-wave DFT calculation with SCAN was carried out for a crystal of LaCu3 relaxed with PBEsol.

The structure in extended XYZ format:
```
4
Lattice="3.1462 0.0000 0.0000 0.0000 3.1462 0.0000 0.0000 0.0000 6.5961" Properties=species:S:1:pos:R:3 pbc="T T T"
La 0.0000 0.0000 0.0000
Cu 0.0000 0.0000 3.2980
Cu 1.5731 1.5731 2.1030
Cu 1.5731 1.5731 4.4930
```

## Properties
space-group type	P4/mmm
D(E_F)	0.46	states/eV/atom
DFT total energy	-88.538	eV for the cell shown
calculated formation energy	41	meV/atom
total magnetization	0.00	μB/f.u.